(1)
Crystalline Ba2Ga4SnAu3 at its relaxed geometry, computed with PBE.

energy of formation: -0.55 eV/atom

a = 4.676 Å, b = 4.676 Å, c = 11.122 Å
α = 90.00°, β = 90.00°, γ = 90.00°
Space group P-4m2 (No. 115)
Symmetry-distinct sites (fractional):
Ba 0.000 0.500 0.244
Ga 0.000 0.000 0.000
Ga 0.000 0.500 0.643
Ga 0.500 0.500 0.000
Sn 0.000 0.000 0.500
Au 0.000 0.500 0.880
Au 0.500 0.500 0.500

(2)
Crystalline PrPaGe2Rh5 at its relaxed geometry, computed with PBE.

energy of formation: -0.53 eV/atom

a = 4.742 Å, b = 4.742 Å, c = 7.437 Å
α = 90.00°, β = 90.00°, γ = 90.00°
Space group P4/mmm (No. 123)
Symmetry-distinct sites (fractional):
Pr 0.000 0.000 0.000
Pa 0.000 0.000 0.500
Ge 0.500 0.500 0.331
Rh 0.000 0.500 0.278
Rh 0.500 0.500 0.000

(3)
Crystalline BePIr at its relaxed geometry, computed with PBE.

E above lowest polymorph: 465 meV per atom
energy of formation: 0.21 eV/atom

a = 2.747 Å, b = 4.888 Å, c = 11.505 Å
α = 90.00°, β = 90.00°, γ = 90.00°
Space group Fmm2 (No. 42)
Symmetry-distinct sites (fractional):
Be 0.000 0.000 0.000
P 0.000 0.000 0.659
Ir 0.000 0.000 0.339

Q: The highest energy of formation belongs to which entry?
A: BePIr